# PBE-GGA Ga2Bi2Pd, optimized geometry
data_Ga2Bi2Pd
_chemical_formula_sum 'Ga4 Bi4 Pd2'
_cell_length_a 7.341
_cell_length_b 7.341
_cell_length_c 4.828
_cell_angle_alpha 90.00
_cell_angle_beta 90.00
_cell_angle_gamma 90.00
_symmetry_space_group_name_H-M 'P 4/m b m'
_symmetry_Int_Tables_number 127
_symmetry_space_group_name_Hall '-P 4 2ab'
loop_
_atom_site_label
_atom_site_type_symbol
_atom_site_fract_x
_atom_site_fract_y
_atom_site_fract_z
Ga1 Ga 0.151 0.349 0.000
Bi1 Bi 0.156 0.656 0.500
Pd1 Pd 0.000 0.000 0.500
# - Raw total energy: -37.3 eV for the cell shown
# - V: 26.01 A^3/atom